Entry 1:
Here is a geometry-optimized RbNaLiTl2 structure from Alexandria via LeMat-Bulk. Energies are from PBE.

Calculated values
Total energy = -1.79 eV/atom
V = 169.55 Å³ per cell
Space-group type = No. 123
E_form = -0.0034 eV/atom
Magnetization = 0.00 μB per formula unit

Unit cell a=5.425 b=5.425 c=5.761 alpha=90.00 beta=90.00 gamma=90.00
Atoms (fractional coordinates):
Li (0.000, 0.000, 0.000)
Tl (0.500, 0.000, 0.000)
Tl (0.000, 0.500, 0.000)
Na (0.000, 0.000, 0.500)
Rb (0.500, 0.500, 0.500)



Entry 2:
Here is a geometry-optimized ZnInSnAu structure from Alexandria via LeMat-Bulk. Energies are from PBE.

Calculated values
Total energy = -2.77 eV/atom
V = 88.28 Å³ per cell
Space-group type = No. 216
E_form = 0.0532 eV/atom
Magnetization = 0.00 μB per formula unit

Unit cell a=4.998 b=4.998 c=4.998 alpha=60.00 beta=60.00 gamma=60.00
Atoms (fractional coordinates):
Zn (0.750, 0.750, 0.750)
Sn (0.500, 0.500, 0.500)
Au (0.250, 0.250, 0.250)
In (0.000, 0.000, 0.000)



Entry 3:
Here is a geometry-optimized Pu4Ga12Ni structure from Alexandria via LeMat-Bulk. Energies are from PBE.

Calculated values
Total energy = -6.26 eV/atom
V = 319.79 Å³ per cell
Space-group type = No. 229
E_form = -0.4068 eV/atom
Magnetization = 21.13 μB per formula unit

Unit cell a=7.462 b=7.462 c=7.462 alpha=109.47 beta=109.47 gamma=109.47
Site moments in Bohr magnetons follow the coordinates.
Atoms (fractional coordinates):
Ga (0.715, 0.715, 0.000)  0.00
Ga (0.500, 0.750, 0.250)  0.00
Ga (0.285, 0.000, 0.285)  0.00
Ga (0.715, 0.000, 0.715)  0.00
Ga (0.750, 0.250, 0.500)  0.00
Ga (0.750, 0.500, 0.250)  0.00
Ga (0.250, 0.500, 0.750)  0.00
Ga (0.000, 0.285, 0.285)  0.00
Ga (0.285, 0.285, 0.000)  0.00
Ga (0.000, 0.715, 0.715)  0.00
Ga (0.500, 0.250, 0.750)  0.00
Ga (0.250, 0.750, 0.500)  0.00
Pu (0.500, 0.000, 0.000)  5.11
Pu (0.000, 0.500, 0.000)  5.11
Pu (0.000, 0.000, 0.500)  5.11
Pu (0.500, 0.500, 0.500)  5.11
Ni (0.000, 0.000, 0.000)  0.02



What did the third record say?
Here is a geometry-optimized Pu4Ga12Ni structure from Alexandria via LeMat-Bulk. Energies are from PBE.

Calculated values
Total energy = -6.26 eV/atom
V = 319.79 Å³ per cell
Space-group type = No. 229
E_form = -0.4068 eV/atom
Magnetization = 21.13 μB per formula unit

Unit cell a=7.462 b=7.462 c=7.462 alpha=109.47 beta=109.47 gamma=109.47
Site moments in Bohr magnetons follow the coordinates.
Atoms (fractional coordinates):
Ga (0.715, 0.715, 0.000)  0.00
Ga (0.500, 0.750, 0.250)  0.00
Ga (0.285, 0.000, 0.285)  0.00
Ga (0.715, 0.000, 0.715)  0.00
Ga (0.750, 0.250, 0.500)  0.00
Ga (0.750, 0.500, 0.250)  0.00
Ga (0.250, 0.500, 0.750)  0.00
Ga (0.000, 0.285, 0.285)  0.00
Ga (0.285, 0.285, 0.000)  0.00
Ga (0.000, 0.715, 0.715)  0.00
Ga (0.500, 0.250, 0.750)  0.00
Ga (0.250, 0.750, 0.500)  0.00
Pu (0.500, 0.000, 0.000)  5.11
Pu (0.000, 0.500, 0.000)  5.11
Pu (0.000, 0.000, 0.500)  5.11
Pu (0.500, 0.500, 0.500)  5.11
Ni (0.000, 0.000, 0.000)  0.02



Q: What is the V in the second record?
A: 88.28 Å³ per cell



Q: What is the V in the first record?
A: 169.55 Å³ per cell